A plane-wave DFT calculation with PBE was carried out for Cs4BrO after structural relaxation.

Its energy above the most stable polymorph in this dataset is 11 meV per atom.

The structure belongs to space group C2/c (No. 15); the cell edges are 9.749, 19.670 and 8.174 Å and the angles 90.00°, 120.30° and 90.00°. The inequivalent atoms are Cs at (0.192, 0.048, 0.156), Cs at (0.212, 0.166, 0.750), Br at (0.000, 0.319, 0.750) and O at (0.000, 0.065, 0.750).

=====

A plane-wave DFT calculation with PBE was carried out for Cs2OsBr4O2 after structural relaxation.

The structure belongs to space group C2/m (No. 12); the cell edges are 12.400, 7.848 and 6.397 Å and the angles 90.00°, 105.12° and 90.00°. The inequivalent atoms are Cs at (0.177, 0.000, 0.319), Os at (0.000, 0.500, 0.000), Br at (0.088, 0.264, 0.816) and O at (0.119, 0.500, 0.221).

=====

A plane-wave DFT calculation with PBE was carried out for Cs2OsBr2O4 after structural relaxation.

The structure belongs to space group I4/mmm (No. 139); the cell edges are 7.369, 7.369 and 8.808 Å and the angles 90.00°, 90.00° and 90.00°. The inequivalent atoms are Cs at (0.000, 0.500, 0.250), Os at (0.000, 0.000, 0.000), Br at (0.000, 0.000, 0.296) and O at (0.174, 0.174, 0.000).

=====

no.,spin magnetization (μB/cell),E_tot (eV for the cell shown),formation energy (no corrections) (eV/atom)
1,0.16,-65.731,-1.065
2,0.00,-79.192,-1.117
3,0.00,-92.108,-1.104